Density functional theory data (PBE) for an optimized crystal structure of AgAs2WBr. Values from VASP.

Output
ΔE_f (raw) (eV/atom): 0.5706
Theoretical density (g cm⁻³): 6.77
Raw total energy (eV per atom): -4.78
Magnetic moment (μB per cell): 0.29
Polymorph energy (0 for the lowest one) (kcal/mol of atoms): 0.000
Symmetry: P4/mmm (123)

Geometry as Quantum ESPRESSO input:
```
&SYSTEM
  ibrav = 0, nat = 5, ntyp = 4
/
ATOMIC_SPECIES
As 74.92 As.upf
Br 79.90 Br.upf
Ag 107.87 Ag.upf
W 183.84 W.upf
ATOMIC_POSITIONS angstrom
As -1.5893 -1.4027 1.1765
As -1.2454 -0.3137 -2.0563
Br -1.5061 2.1912 0.5780
Ag -4.3408 0.4749 -0.3018
W 0.0000 0.0000 0.0000
CELL_PARAMETERS angstrom
-2.4908 -0.6273 -4.1126
-3.1786 -2.8055 2.3530
-3.0123 4.3825 1.1559
```

=====

Density functional theory data (PBE) for an optimized crystal structure of AgAsWBr2. Values from VASP.

Output
ΔE_f (raw) (eV/atom): 0.5705
Theoretical density (g cm⁻³): 6.55
Raw total energy (eV per atom): -4.19
Magnetic moment (μB per cell): 1.08
Polymorph energy (0 for the lowest one) (kcal/mol of atoms): 0.000
Symmetry: P4/mmm (123)

Geometry as Quantum ESPRESSO input:
```
&SYSTEM
  ibrav = 0, nat = 5, ntyp = 4
/
ATOMIC_SPECIES
As 74.92 As.upf
Br 79.90 Br.upf
Ag 107.87 Ag.upf
W 183.84 W.upf
ATOMIC_POSITIONS angstrom
As 0.0000 0.0000 2.4427
Br 0.0000 2.6130 0.0000
Br 2.6130 0.0000 0.0000
Ag 2.6130 2.6130 2.4427
W 0.0000 0.0000 0.0000
CELL_PARAMETERS angstrom
5.2260 0.0000 0.0000
0.0000 5.2260 0.0000
0.0000 0.0000 4.8854
```

=====

Density functional theory data (PBE) for an optimized crystal structure of AgAs2WBr. Values from VASP.

Output
ΔE_f (raw) (eV/atom): 1.6177
Theoretical density (g cm⁻³): 6.88
Raw total energy (eV per atom): -3.74
Magnetic moment (μB per cell): 2.99
Polymorph energy (0 for the lowest one) (kcal/mol of atoms): 24.147
Symmetry: P4/mmm (123)

Geometry as Quantum ESPRESSO input:
```
&SYSTEM
  ibrav = 0, nat = 5, ntyp = 4
/
ATOMIC_SPECIES
As 74.92 As.upf
Br 79.90 Br.upf
Ag 107.87 Ag.upf
W 183.84 W.upf
ATOMIC_POSITIONS angstrom
As 0.0000 2.4833 0.0000
As 2.4833 0.0000 0.0000
Br 0.0000 0.0000 2.5517
Ag 0.0000 0.0000 0.0000
W 2.4833 2.4833 2.5517
CELL_PARAMETERS angstrom
4.9666 0.0000 0.0000
0.0000 4.9666 0.0000
0.0000 0.0000 5.1035
```

=====

Density functional theory data (PBE) for an optimized crystal structure of AgAsWBr2. Values from VASP.

Output
ΔE_f (raw) (eV/atom): 1.4621
Theoretical density (g cm⁻³): 6.33
Raw total energy (eV per atom): -3.30
Magnetic moment (μB per cell): 3.11
Polymorph energy (0 for the lowest one) (kcal/mol of atoms): 20.561
Symmetry: P4/mmm (123)

Geometry as Quantum ESPRESSO input:
```
&SYSTEM
  ibrav = 0, nat = 5, ntyp = 4
/
ATOMIC_SPECIES
As 74.92 As.upf
Br 79.90 Br.upf
Ag 107.87 Ag.upf
W 183.84 W.upf
ATOMIC_POSITIONS angstrom
As 0.0000 0.0000 2.6362
Br 0.0000 2.5581 0.0000
Br 2.5581 0.0000 0.0000
Ag 0.0000 0.0000 0.0000
W 2.5581 2.5581 2.6362
CELL_PARAMETERS angstrom
5.1163 0.0000 0.0000
0.0000 5.1163 0.0000
0.0000 0.0000 5.2723
```

=====

Density functional theory data (PBE) for an optimized crystal structure of ZnAg2AsBr. Values from VASP.

Output
ΔE_f (raw) (eV/atom): 0.0372
Theoretical density (g cm⁻³): 5.89
Raw total energy (eV per atom): -2.62
Magnetic moment (μB per cell): 0.00
Polymorph energy (0 for the lowest one) (kcal/mol of atoms): 0.000
Symmetry: P4/mmm (123)

Geometry as Quantum ESPRESSO input:
```
&SYSTEM
  ibrav = 0, nat = 5, ntyp = 4
/
ATOMIC_SPECIES
Zn 65.41 Zn.upf
As 74.92 As.upf
Br 79.90 Br.upf
Ag 107.87 Ag.upf
ATOMIC_POSITIONS angstrom
Zn 0.0000 0.0000 2.3688
As 0.0000 0.0000 0.0000
Br 2.5475 2.5475 2.3688
Ag 0.0000 2.5475 0.0000
Ag 2.5475 0.0000 0.0000
CELL_PARAMETERS angstrom
5.0950 0.0000 0.0000
0.0000 5.0950 0.0000
0.0000 0.0000 4.7376
```

=====

Density functional theory data (PBE) for an optimized crystal structure of ZnAg2AsBr. Values from VASP.

Output
ΔE_f (raw) (eV/atom): 0.4254
Theoretical density (g cm⁻³): 5.88
Raw total energy (eV per atom): -2.23
Magnetic moment (μB per cell): 0.00
Polymorph energy (0 for the lowest one) (kcal/mol of atoms): 8.951
Symmetry: P4/mmm (123)

Geometry as Quantum ESPRESSO input:
```
&SYSTEM
  ibrav = 0, nat = 5, ntyp = 4
/
ATOMIC_SPECIES
Zn 65.41 Zn.upf
As 74.92 As.upf
Br 79.90 Br.upf
Ag 107.87 Ag.upf
ATOMIC_POSITIONS angstrom
Zn 0.0000 0.0000 0.0000
As 0.0000 2.2613 0.0000
Br 2.6085 2.2613 2.6085
Ag 0.0000 0.0000 2.6085
Ag 2.6085 0.0000 0.0000
CELL_PARAMETERS angstrom
5.2169 0.0000 0.0000
0.0000 4.5225 0.0000
0.0000 0.0000 5.2169
```